Run P
VASP calculation (GGA-PBE) on a relaxed structure of HfSb2TeO.

Results
**ρ**: 8.7 g cm⁻³
**Volume**: 21.50 Å³/atom
**DOS(E_F)**: 3.17 states/eV per cell

Cell and atoms, written as CIF:
```
data_HfSb2TeO
_cell_length_a 4.664
_cell_length_b 4.664
_cell_length_c 4.942
_cell_angle_alpha 90.00
_cell_angle_beta 90.00
_cell_angle_gamma 90.00
_space_group_name_H-M_alt 'P 4/m m m'
_space_group_IT_number 123
_space_group_name_Hall '-P 4 2'
loop_
_atom_site_label
_atom_site_type_symbol
_atom_site_fract_x
_atom_site_fract_y
_atom_site_fract_z
Hf1 Hf 0.000 0.000 0.000
Sb1 Sb 0.000 0.500 0.500
Te1 Te 0.500 0.500 0.000
O1 O 0.500 0.500 0.500
```

Run Q
VASP calculation (GGA-PBE) on a relaxed structure of HfSb2TeO.

Results
**ρ**: 5.8 g cm⁻³
**Volume**: 32.21 Å³/atom
**DOS(E_F)**: 10.62 states/eV per cell

Cell and atoms, written as CIF:
```
data_HfSb2TeO
_cell_length_a 5.476
_cell_length_b 5.476
_cell_length_c 5.372
_cell_angle_alpha 90.00
_cell_angle_beta 90.00
_cell_angle_gamma 90.00
_space_group_name_H-M_alt 'P 4/m m m'
_space_group_IT_number 123
_space_group_name_Hall '-P 4 2'
loop_
_atom_site_label
_atom_site_type_symbol
_atom_site_fract_x
_atom_site_fract_y
_atom_site_fract_z
Hf1 Hf 0.000 0.000 0.000
Sb1 Sb 0.000 0.500 0.000
Te1 Te 0.000 0.000 0.500
O1 O 0.500 0.500 0.500
```

On energetic grounds, run P is preferred over the next structure by 71.3 kJ/mol of atoms.

Run P
VASP calculation (GGA-PBE) on a relaxed structure of Hf3ScO.

Results
**ρ**: 10.7 g cm⁻³
**Volume**: 18.43 Å³/atom
**DOS(E_F)**: 6.61 states/eV per cell

Cell and atoms, written as CIF:
```
data_Hf3ScO
_cell_length_a 4.517
_cell_length_b 4.517
_cell_length_c 4.517
_cell_angle_alpha 90.00
_cell_angle_beta 90.00
_cell_angle_gamma 90.00
_space_group_name_H-M_alt 'P m -3 m'
_space_group_IT_number 221
_space_group_name_Hall '-P 4 2 3'
loop_
_atom_site_label
_atom_site_type_symbol
_atom_site_fract_x
_atom_site_fract_y
_atom_site_fract_z
Hf1 Hf 0.000 0.000 0.500
Sc1 Sc 0.500 0.500 0.500
O1 O 0.000 0.000 0.000
```

Run Q
VASP calculation (GGA-PBE) on a relaxed structure of Hf3ScO.

Results
**ρ**: 8.1 g cm⁻³
**Volume**: 24.51 Å³/atom
**DOS(E_F)**: 6.63 states/eV per cell

Cell and atoms, written as CIF:
```
data_Hf3ScO
_cell_length_a 4.967
_cell_length_b 4.967
_cell_length_c 4.967
_cell_angle_alpha 90.00
_cell_angle_beta 90.00
_cell_angle_gamma 90.00
_space_group_name_H-M_alt 'P m -3 m'
_space_group_IT_number 221
_space_group_name_Hall '-P 4 2 3'
loop_
_atom_site_label
_atom_site_type_symbol
_atom_site_fract_x
_atom_site_fract_y
_atom_site_fract_z
Hf1 Hf 0.000 0.000 0.500
Sc1 Sc 0.000 0.000 0.000
O1 O 0.500 0.500 0.500
```

On energetic grounds, run P is preferred over the next structure by 255.7 kJ/mol of atoms.

Run P
VASP calculation (GGA-PBE) on a relaxed structure of HfSc3O.

Results
**ρ**: 5.9 g cm⁻³
**Volume**: 18.45 Å³/atom
**DOS(E_F)**: 8.37 states/eV per cell

Cell and atoms, written as CIF:
```
data_HfSc3O
_cell_length_a 4.518
_cell_length_b 4.518
_cell_length_c 4.518
_cell_angle_alpha 90.00
_cell_angle_beta 90.00
_cell_angle_gamma 90.00
_space_group_name_H-M_alt 'P m -3 m'
_space_group_IT_number 221
_space_group_name_Hall '-P 4 2 3'
loop_
_atom_site_label
_atom_site_type_symbol
_atom_site_fract_x
_atom_site_fract_y
_atom_site_fract_z
Hf1 Hf 0.000 0.000 0.000
Sc1 Sc 0.000 0.500 0.500
O1 O 0.500 0.500 0.500
```

Run Q
VASP calculation (GGA-PBE) on a relaxed structure of HfSc3O.

Results
**ρ**: 4.0 g cm⁻³
**Volume**: 27.16 Å³/atom
**DOS(E_F)**: 4.06 states/eV per cell

Cell and atoms, written as CIF:
```
data_HfSc3O
_cell_length_a 5.140
_cell_length_b 5.140
_cell_length_c 5.140
_cell_angle_alpha 90.00
_cell_angle_beta 90.00
_cell_angle_gamma 90.00
_space_group_name_H-M_alt 'P m -3 m'
_space_group_IT_number 221
_space_group_name_Hall '-P 4 2 3'
loop_
_atom_site_label
_atom_site_type_symbol
_atom_site_fract_x
_atom_site_fract_y
_atom_site_fract_z
Hf1 Hf 0.000 0.000 0.000
Sc1 Sc 0.000 0.000 0.500
O1 O 0.500 0.500 0.500
```

On energetic grounds, run P is preferred over the next structure by 213.3 kJ/mol of atoms.

Run P
VASP calculation (GGA-PBE) on a relaxed structure of HfSc2TiO.

Results
**ρ**: 6.3 g cm⁻³
**Volume**: 17.48 Å³/atom
**DOS(E_F)**: 6.16 states/eV per cell

Cell and atoms, written as CIF:
```
data_HfSc2TiO
_cell_length_a 4.396
_cell_length_b 4.396
_cell_length_c 4.523
_cell_angle_alpha 90.00
_cell_angle_beta 90.00
_cell_angle_gamma 90.00
_space_group_name_H-M_alt 'P 4/m m m'
_space_group_IT_number 123
_space_group_name_Hall '-P 4 2'
loop_
_atom_site_label
_atom_site_type_symbol
_atom_site_fract_x
_atom_site_fract_y
_atom_site_fract_z
Hf1 Hf 0.000 0.000 0.000
Sc1 Sc 0.000 0.500 0.500
Ti1 Ti 0.500 0.500 0.000
O1 O 0.000 0.000 0.500
```

Run Q
VASP calculation (GGA-PBE) on a relaxed structure of HfSc2TiO.

Results
**ρ**: 6.4 g cm⁻³
**Volume**: 17.23 Å³/atom
**DOS(E_F)**: 5.84 states/eV per cell

Cell and atoms, written as CIF:
```
data_HfSc2TiO
_cell_length_a 4.477
_cell_length_b 4.477
_cell_length_c 4.298
_cell_angle_alpha 90.00
_cell_angle_beta 90.00
_cell_angle_gamma 90.00
_space_group_name_H-M_alt 'P 4/m m m'
_space_group_IT_number 123
_space_group_name_Hall '-P 4 2'
loop_
_atom_site_label
_atom_site_type_symbol
_atom_site_fract_x
_atom_site_fract_y
_atom_site_fract_z
Hf1 Hf 0.000 0.000 0.000
Sc1 Sc 0.000 0.500 0.500
Ti1 Ti 0.500 0.500 0.000
O1 O 0.500 0.500 0.500
```

On energetic grounds, run P is preferred over the next structure by 3.8 kJ/mol of atoms.

Run P
VASP calculation (GGA-PBE) on a relaxed structure of Y2HfScO.

Results
**ρ**: 6.4 g cm⁻³
**Volume**: 21.57 Å³/atom
**DOS(E_F)**: 4.36 states/eV per cell

Cell and atoms, written as CIF:
```
data_Y2HfScO
_cell_length_a 4.987
_cell_length_b 4.987
_cell_length_c 4.336
_cell_angle_alpha 90.00
_cell_angle_beta 90.00
_cell_angle_gamma 90.00
_space_group_name_H-M_alt 'P 4/m m m'
_space_group_IT_number 123
_space_group_name_Hall '-P 4 2'
loop_
_atom_site_label
_atom_site_type_symbol
_atom_site_fract_x
_atom_site_fract_y
_atom_site_fract_z
Y1 Y 0.000 0.500 0.000
Hf1 Hf 0.000 0.000 0.500
Sc1 Sc 0.500 0.500 0.500
O1 O 0.000 0.000 0.000
```

Run Q
VASP calculation (GGA-PBE) on a relaxed structure of Y2HfScO.

Results
**ρ**: 6.5 g cm⁻³
**Volume**: 21.25 Å³/atom
**DOS(E_F)**: 6.03 states/eV per cell

Cell and atoms, written as CIF:
```
data_Y2HfScO
_cell_length_a 4.955
_cell_length_b 4.955
_cell_length_c 4.329
_cell_angle_alpha 90.00
_cell_angle_beta 90.00
_cell_angle_gamma 90.00
_space_group_name_H-M_alt 'P 4/m m m'
_space_group_IT_number 123
_space_group_name_Hall '-P 4 2'
loop_
_atom_site_label
_atom_site_type_symbol
_atom_site_fract_x
_atom_site_fract_y
_atom_site_fract_z
Y1 Y 0.000 0.500 0.000
Hf1 Hf 0.000 0.000 0.500
Sc1 Sc 0.500 0.500 0.500
O1 O 0.500 0.500 0.000
```

On energetic grounds, run P is preferred over the next structure by 0.7 kJ/mol of atoms.

Run P
VASP calculation (GGA-PBE) on a relaxed structure of YHfSc2O.

Results
**ρ**: 6.3 g cm⁻³
**Volume**: 19.69 Å³/atom
**DOS(E_F)**: 4.06 states/eV per cell

Cell and atoms, written as CIF:
```
data_YHfSc2O
_cell_length_a 4.580
_cell_length_b 4.580
_cell_length_c 4.694
_cell_angle_alpha 90.00
_cell_angle_beta 90.00
_cell_angle_gamma 90.00
_space_group_name_H-M_alt 'P 4/m m m'
_space_group_IT_number 123
_space_group_name_Hall '-P 4 2'
loop_
_atom_site_label
_atom_site_type_symbol
_atom_site_fract_x
_atom_site_fract_y
_atom_site_fract_z
Y1 Y 0.000 0.000 0.000
Hf1 Hf 0.500 0.500 0.000
Sc1 Sc 0.000 0.500 0.500
O1 O 0.500 0.500 0.500
```

Run Q
VASP calculation (GGA-PBE) on a relaxed structure of YHfSc2O.

Results
**ρ**: 6.3 g cm⁻³
**Volume**: 19.77 Å³/atom
**DOS(E_F)**: 7.05 states/eV per cell

Cell and atoms, written as CIF:
```
data_YHfSc2O
_cell_length_a 4.465
_cell_length_b 4.465
_cell_length_c 4.957
_cell_angle_alpha 90.00
_cell_angle_beta 90.00
_cell_angle_gamma 90.00
_space_group_name_H-M_alt 'P 4/m m m'
_space_group_IT_number 123
_space_group_name_Hall '-P 4 2'
loop_
_atom_site_label
_atom_site_type_symbol
_atom_site_fract_x
_atom_site_fract_y
_atom_site_fract_z
Y1 Y 0.000 0.000 0.000
Hf1 Hf 0.500 0.500 0.000
Sc1 Sc 0.000 0.500 0.500
O1 O 0.000 0.000 0.500
```

On energetic grounds, run Q is preferred over the next structure by 6.6 kJ/mol of atoms.